Density functional theory data (PBE with a Hubbard U) for a relaxed structure of Na2TeMoO6.

abc: 5.6515 5.6515 4.7350
angles: 90.00 90.00 90.00
Atoms (fractional coordinates):
1 Na 0.0000 0.5000 0.0000
2 Na 0.5000 0.0000 0.0000
3 Te 0.0000 0.0000 0.6153
4 Mo 0.5000 0.5000 0.5756
5 O 0.0000 0.0000 0.2217
6 O 0.2680 0.2680 0.6827
7 O 0.2680 0.7320 0.6827
8 O 0.5000 0.5000 0.2033
9 O 0.7320 0.2680 0.6827
10 O 0.7320 0.7320 0.6827

Summary:
energy	-5.7337	eV/atom
calculated density	4.0	Mg/m³
space-group type	P4mm, No. 99